# 1
Compound: Sr2AlSi
Source: Alexandria
Functional: PBE-GGA
Structure: relaxed

## Properties
**Size of the total moment**: 0.00 μB/f.u.
**Formation energy without anion corrections**: -344 meV per atom

Cell and atoms, written as CIF:
```
data_Sr2AlSi
_chemical_formula_sum 'Sr4 Al2 Si2'
_cell_length_a 6.4326
_cell_length_b 4.2550
_cell_length_c 9.3665
_cell_angle_alpha 90.00
_cell_angle_beta 107.33
_cell_angle_gamma 90.00
_space_group_name_H-M_alt 'P 1 21/m 1'
_space_group_IT_number 11
_space_group_name_Hall '-P 2yb'
loop_
_atom_site_label
_atom_site_fract_x
_atom_site_fract_y
_atom_site_fract_z
Sr1 0.2052 0.2500 0.4247
Sr2 0.2820 0.7500 0.0668
Al1 0.3426 0.7500 0.7211
Si1 0.1585 0.2500 0.7819
```

---

# 2
Compound: LiZrGaPd
Source: Alexandria
Functional: PBE-GGA
Structure: relaxed

## Properties
**Size of the total moment**: 0.00 μB/f.u.
**ΔH_f (0 K)**: -0.62 eV per atom

Cell and atoms, written as CIF:
```
data_LiZrGaPd
_chemical_formula_sum 'Li4 Zr4 Ga4 Pd4'
_cell_length_a 6.3460
_cell_length_b 6.3460
_cell_length_c 6.3460
_cell_angle_alpha 90.00
_cell_angle_beta 90.00
_cell_angle_gamma 90.00
_space_group_name_H-M_alt 'F -4 3 m'
_space_group_IT_number 216
_space_group_name_Hall 'F -4 2 3'
loop_
_atom_site_label
_atom_site_fract_x
_atom_site_fract_y
_atom_site_fract_z
Li1 0.0000 0.0000 0.0000
Zr1 0.2500 0.2500 0.7500
Ga1 0.2500 0.2500 0.2500
Pd1 0.0000 0.0000 0.5000
```

---

# 3
Compound: Cs3Na2UCl9
Source: Alexandria
Functional: PBE-GGA
Structure: relaxed

## Properties
**Size of the total moment**: 2.00 μB/f.u.
**Formation energy without anion corrections**: -1883 meV per atom

Cell and atoms, written as CIF:
```
data_Cs3Na2UCl9
_chemical_formula_sum 'Cs3 Na2 U1 Cl9'
_cell_length_a 7.7907
_cell_length_b 7.7907
_cell_length_c 9.7673
_cell_angle_alpha 90.00
_cell_angle_beta 90.00
_cell_angle_gamma 120.00
_space_group_name_H-M_alt 'P -3 m 1'
_space_group_IT_number 164
_space_group_name_Hall '-P 3 2"'
loop_
_atom_site_label
_atom_site_fract_x
_atom_site_fract_y
_atom_site_fract_z
Cs1 0.0000 0.0000 0.0000
Cs2 0.3333 0.6667 0.7284
Na1 0.3333 0.6667 0.1474
U1 0.0000 0.0000 0.5000
Cl1 0.0000 0.5000 0.0000
Cl2 0.1588 0.3176 0.3438
```

---

# 4
Compound: SrTcAs
Source: Alexandria
Functional: PBE-GGA
Structure: relaxed

## Properties
**Size of the total moment**: 3.90 μB/f.u.
**ΔH_f (0 K)**: 1.22 eV per atom
**Relative energy among the computed polymorphs**: 1.714 eV/atom

Cell and atoms, written as CIF:
```
data_SrTcAs
_chemical_formula_sum 'Sr4 Tc4 As4'
_cell_length_a 7.0709
_cell_length_b 7.0709
_cell_length_c 7.0709
_cell_angle_alpha 90.00
_cell_angle_beta 90.00
_cell_angle_gamma 90.00
_space_group_name_H-M_alt 'F -4 3 m'
_space_group_IT_number 216
_space_group_name_Hall 'F -4 2 3'
loop_
_atom_site_label
_atom_site_fract_x
_atom_site_fract_y
_atom_site_fract_z
Sr1 0.0000 0.0000 0.0000
Tc1 0.2500 0.2500 0.2500
As1 0.2500 0.2500 0.7500
```

---

# 5
Compound: CdAg2Sn2
Source: Alexandria
Functional: PBE-GGA
Structure: relaxed

## Properties
**Size of the total moment**: 0.00 μB/f.u.
**ΔH_f (0 K)**: 0.15 eV per atom
**Relative energy among the computed polymorphs**: 0.101 eV/atom

Cell and atoms, written as CIF:
```
data_CdAg2Sn2
_chemical_formula_sum 'Cd2 Ag4 Sn4'
_cell_length_a 4.0550
_cell_length_b 4.0550
_cell_length_c 14.7656
_cell_angle_alpha 90.00
_cell_angle_beta 90.00
_cell_angle_gamma 90.00
_space_group_name_H-M_alt 'I 4/m m m'
_space_group_IT_number 139
_space_group_name_Hall '-I 4 2'
loop_
_atom_site_label
_atom_site_fract_x
_atom_site_fract_y
_atom_site_fract_z
Cd1 0.0000 0.0000 0.0000
Ag1 0.0000 0.5000 0.2500
Sn1 0.0000 0.0000 0.3948
```

---

# 6
Compound: Cr2HRhAu
Source: Alexandria
Functional: PBE-GGA
Structure: relaxed

## Properties
**Size of the total moment**: 2.99 μB/f.u.
**Total energy**: -32.45 eV/f.u.

Cell and atoms, written as CIF:
```
data_Cr2HRhAu
_chemical_formula_sum 'Cr2 H1 Rh1 Au1'
_cell_length_a 3.8584
_cell_length_b 3.8584
_cell_length_c 3.9010
_cell_angle_alpha 90.00
_cell_angle_beta 90.00
_cell_angle_gamma 90.00
_space_group_name_H-M_alt 'P 4/m m m'
_space_group_IT_number 123
_space_group_name_Hall '-P 4 2'
loop_
_atom_site_label
_atom_site_fract_x
_atom_site_fract_y
_atom_site_fract_z
Cr1 0.0000 0.5000 0.0000
H1 0.0000 0.0000 0.0000
Rh1 0.0000 0.0000 0.5000
Au1 0.5000 0.5000 0.5000
```

---

# 7
Compound: Ir2SeCl
Source: Alexandria
Functional: PBE-GGA
Structure: relaxed

## Properties
**Size of the total moment**: 0.00 μB/f.u.
**Relative energy among the computed polymorphs**: 0.956 eV/atom
**Formation energy without anion corrections**: 989 meV per atom

Cell and atoms, written as CIF:
```
data_Ir2SeCl
_chemical_formula_sum 'Ir4 Se2 Cl2'
_cell_length_a 3.6861
_cell_length_b 3.6861
_cell_length_c 9.5522
_cell_angle_alpha 90.00
_cell_angle_beta 90.00
_cell_angle_gamma 90.00
_space_group_name_H-M_alt 'I -4 m 2'
_space_group_IT_number 119
_space_group_name_Hall 'I -4 -2'
loop_
_atom_site_label
_atom_site_fract_x
_atom_site_fract_y
_atom_site_fract_z
Ir1 0.0000 0.0000 0.0000
Ir2 0.0000 0.5000 0.2500
Se1 0.0000 0.5000 0.7500
Cl1 0.0000 0.0000 0.5000
```

---

# 8
Compound: TaAsIO2
Source: Alexandria
Functional: PBE-GGA
Structure: relaxed

## Properties
**Size of the total moment**: 2.73 μB/f.u.
**Relative energy among the computed polymorphs**: 1.525 eV/atom
**Formation energy without anion corrections**: 582 meV per atom

Cell and atoms, written as CIF:
```
data_TaAsIO2
_chemical_formula_sum 'Ta1 As1 I1 O2'
_cell_length_a 3.9913
_cell_length_b 3.9913
_cell_length_c 5.7053
_cell_angle_alpha 90.00
_cell_angle_beta 90.00
_cell_angle_gamma 90.00
_space_group_name_H-M_alt 'P 4/m m m'
_space_group_IT_number 123
_space_group_name_Hall '-P 4 2'
loop_
_atom_site_label
_atom_site_fract_x
_atom_site_fract_y
_atom_site_fract_z
Ta1 0.0000 0.0000 0.0000
As1 0.5000 0.5000 0.5000
I1 0.5000 0.5000 0.0000
O1 0.0000 0.5000 0.5000
```

---

# 9
Compound: LiIrF2
Source: Alexandria
Functional: PBE-GGA
Structure: relaxed

## Properties
**Size of the total moment**: 0.00 μB/f.u.
**Relative energy among the computed polymorphs**: 0.899 eV/atom
**Formation energy without anion corrections**: -873 meV per atom

Cell and atoms, written as CIF:
```
data_LiIrF2
_chemical_formula_sum 'Li4 Ir4 F8'
_cell_length_a 4.8925
_cell_length_b 4.8925
_cell_length_c 8.1091
_cell_angle_alpha 90.00
_cell_angle_beta 90.00
_cell_angle_gamma 90.00
_space_group_name_H-M_alt 'I -4 2 d'
_space_group_IT_number 122
_space_group_name_Hall 'I -4 2bw'
loop_
_atom_site_label
_atom_site_fract_x
_atom_site_fract_y
_atom_site_fract_z
Li1 0.0000 0.0000 0.0000
Ir1 0.0000 0.0000 0.5000
F1 0.1701 0.2500 0.1250
```

---

# 10
Compound: Rb2AgSbBr6
Source: Alexandria
Functional: PBE-GGA
Structure: relaxed

## Properties
**Size of the total moment**: 0.00 μB/f.u.
**Formation energy without anion corrections**: -1026 meV per atom

Cell and atoms, written as CIF:
```
data_Rb2AgSbBr6
_chemical_formula_sum 'Rb8 Ag4 Sb4 Br24'
_cell_length_a 11.2958
_cell_length_b 11.2958
_cell_length_c 11.2958
_cell_angle_alpha 90.00
_cell_angle_beta 90.00
_cell_angle_gamma 90.00
_space_group_name_H-M_alt 'F m -3 m'
_space_group_IT_number 225
_space_group_name_Hall '-F 4 2 3'
loop_
_atom_site_label
_atom_site_fract_x
_atom_site_fract_y
_atom_site_fract_z
Rb1 0.2500 0.2500 0.2500
Ag1 0.0000 0.0000 0.0000
Sb1 0.0000 0.0000 0.5000
Br1 0.0000 0.0000 0.2507
```